(1)
Compound: SiTe2N2
Source: Alexandria
Functional: PBE
Structure: relaxed

```
SiTe2N2
1.0
3.834 0.000 0.000
0.000 3.834 0.000
0.000 0.000 6.772
Te N Si
2 2 1
direct
0.500 0.500 0.500 Te
0.000 0.000 0.500 Te
0.000 0.500 0.000 N
0.500 0.000 0.000 N
0.000 0.000 0.000 Si
```



(2)
Compound: SiTe2N2
Source: Alexandria
Functional: PBE
Structure: relaxed

```
SiTe2N2
1.0
-2.987 -0.414 2.662
-2.086 -2.160 -2.676
2.798 -5.528 2.280
Si Te N
1 2 2
direct
0.500 0.500 0.500 Si
0.000 0.000 0.500 Te
0.000 0.000 0.000 Te
0.500 0.000 0.000 N
0.000 0.500 0.000 N
```



(3)
Compound: SiTeN2
Source: Alexandria
Functional: PBE
Structure: relaxed

```
SiTeN2
1.0
5.063 0.000 0.000
0.000 5.063 0.000
2.532 2.532 4.207
N Si Te
4 2 2
direct
0.259 0.625 0.250 N
0.375 0.509 0.750 N
0.491 0.125 0.250 N
0.875 0.741 0.750 N
0.500 0.500 0.000 Si
0.250 0.750 0.500 Si
0.750 0.250 0.500 Te
0.000 0.000 0.000 Te
```



(4)
Compound: Si2TeN
Source: Alexandria
Functional: PBE
Structure: relaxed

```
Si2TeN
1.0
4.831 0.000 0.000
0.000 4.831 0.000
2.415 2.415 5.953
Si Te N
4 2 2
direct
0.290 0.625 0.250 Si
0.460 0.125 0.250 Si
0.875 0.710 0.750 Si
0.375 0.540 0.750 Si
0.750 0.250 0.500 Te
0.000 0.000 0.000 Te
0.500 0.500 0.000 N
0.250 0.750 0.500 N
```



(5)
Compound: SiTe2N
Source: Alexandria
Functional: PBE
Structure: relaxed

```
SiTe2N
1.0
6.562 0.000 0.000
0.000 6.562 0.000
3.281 3.281 4.189
N Te Si
2 4 2
direct
0.250 0.750 0.500 N
0.500 0.500 0.000 N
0.875 0.823 0.750 Te
0.573 0.125 0.250 Te
0.177 0.625 0.250 Te
0.375 0.427 0.750 Te
0.750 0.250 0.500 Si
0.000 0.000 0.000 Si
```



(6)
Compound: SiTe2N
Source: Alexandria
Functional: PBE
Structure: relaxed

```
SiTe2N
1.0
3.799 8.179 1.779
3.084 7.226 4.772
5.824 6.255 3.383
Si Te N
1 2 1
direct
0.000 0.000 0.000 Si
0.895 0.895 0.895 Te
0.105 0.105 0.105 Te
0.500 0.500 0.500 N
```



| no. | excess energy over the best structure of this formula in the dataset (kcal/mol of atoms) |
| --- | --- |
| 1 | 0.40 |
| 2 | 10.21 |
| 3 | 1.14 |
| 4 | 0.00 |
| 5 | 0.66 |
| 6 | 5.98 |